Crystalline Ru4W3 at its relaxed geometry. Source: the Alexandria database, functional GGA-PBE.

Cell lengths 5.0915, 5.0915, 4.8639 Å; angles 90.00, 90.00, 120.00 degrees
Positions (direct):
1 W 0.5000 0.0000 0.0000
2 W 0.5000 0.5000 0.0000
3 W 0.0000 0.5000 0.0000
4 Ru 0.0000 0.0000 0.7401
5 Ru 0.6667 0.3333 0.5000
6 Ru 0.0000 0.0000 0.2599
7 Ru 0.3333 0.6667 0.5000

Output
- energy above the most stable polymorph in this dataset (meV per atom) = 135
- E_form (eV/atom) = 0.3663
- electronic total energy (eV/atom) = -10.49